# AlCoPd2

An optimized crystal structure of AlCoPd2 (PBE-GGA, Alexandria).

Computed properties:
DOS(E_F) = 1.068 states/eV per atom
Total magnetization = 1.8 μB/f.u.
DFT formation energy = -0.41 eV per atom
Calculated total energy = -22.9 eV per cell

Unit cell a=3.917 b=3.917 c=3.622 alpha=90.00 beta=90.00 gamma=90.00
Fractional positions:
Al  0.000  0.000  0.000
Co  0.500  0.500  0.000
Pd  0.000  0.500  0.500
Pd  0.500  0.000  0.500